No. 1
This record from Alexandria describes an optimized crystal structure of PmGeP. The functional is GGA-PBE.

Unit cell a=4.1203 b=4.1203 c=8.1572 alpha=90.06 beta=90.06 gamma=90.00
With the nearest neighbours (Å) after each atom.
Sites, in units of the cell vectors:
Pm 0.2492 0.2492 0.8213  5 P 2.86-2.91, 1 Ge 2.96
Ge 0.7499 0.7499 0.5419  1 P 2.33
Pm 0.7508 0.7508 0.1787  5 P 2.86-2.91, 1 Ge 2.96
P 0.7492 0.7492 0.8278  1 Ge 2.33
Ge 0.2501 0.2501 0.4581  1 P 2.33
P 0.2508 0.2508 0.1722  1 Ge 2.33

The total DFT energy (no corrections) is -5.762 eV/atom. The calculation puts the total magnetization at 0.00 μB per formula unit.

=====

No. 2
This record from Alexandria describes an optimized crystal structure of RbCoS2. The functional is GGA-PBE.

Unit cell a=4.8862 b=4.8862 c=4.8862 alpha=60.00 beta=60.00 gamma=60.00
With the nearest neighbours (Å) after each atom.
Sites, in units of the cell vectors:
S 0.7500 0.7500 0.7500  4 Rb 2.99, 4 Co 2.99
S 0.2500 0.2500 0.2500  4 Co 2.99, 4 Rb 2.99
Co 0.0000 0.0000 0.0000  8 S 2.99
Rb 0.5000 0.5000 0.5000  8 S 2.99

The energy relative to the elements, uncorrected comes out at 1.8 eV/f.u. The total DFT energy (no corrections) is -3.638 eV/atom. The calculation puts the total magnetization at 2.08 μB per formula unit.

=====

No. 3
This record from Alexandria describes an optimized crystal structure of TcSb2Au. The functional is GGA-PBE.

Unit cell a=3.3175 b=3.3175 c=7.4516 alpha=90.00 beta=90.00 gamma=90.00
With the nearest neighbours (Å) after each atom.
Sites, in units of the cell vectors:
Sb 0.0000 0.0000 0.0327  4 Tc 2.85, 4 Au 3.15
Sb 0.0000 0.0000 0.4673  4 Tc 2.85, 4 Au 3.15
Tc 0.5000 0.5000 0.2500  8 Sb 2.85
Au 0.5000 0.5000 0.7500  8 Sb 3.15, 4 Au 3.32

The energy relative to the elements, uncorrected comes out at 0.7 eV/f.u. The total DFT energy (no corrections) is -5.299 eV/atom. The calculation puts the total magnetization at 0.00 μB per formula unit.

=====

No. 4
This record from Alexandria describes an optimized crystal structure of Pm4GaGeSe2. The functional is GGA-PBE.

Unit cell a=4.2059 b=7.1406 c=7.6037 alpha=108.86 beta=90.00 gamma=90.00
With the nearest neighbours (Å) after each atom.
Sites, in units of the cell vectors:
Se 0.0000 0.5000 0.5000  6 Pm 3.00-3.03
Pm 0.0000 0.7527 0.2527  3 Se 2.99-3.00, 1 Ge 3.00, 2 Ga 3.02
Ga 0.5000 0.5000 0.0000  6 Pm 3.00-3.02
Pm 0.5000 0.7552 0.7539  2 Ge 2.98, 3 Se 2.99-3.03, 1 Ga 3.00
Pm 0.0000 0.2473 0.7473  3 Se 2.99-3.00, 1 Ge 3.00, 2 Ga 3.02
Ge 0.0000 0.0000 0.0000  6 Pm 2.98-3.00
Pm 0.5000 0.2448 0.2461  2 Ge 2.98, 3 Se 2.99-3.03, 1 Ga 3.00
Se 0.5000 0.0000 0.5000  6 Pm 2.99

The energy relative to the elements, uncorrected comes out at -10.3 eV/f.u. The total DFT energy (no corrections) is -5.483 eV/atom. The calculation puts the total magnetization at 0.00 μB per formula unit.

=====

No. 5
This record from Alexandria describes an optimized crystal structure of TlCr2Cu. The functional is GGA-PBE.

Unit cell a=3.1063 b=3.1063 c=6.5527 alpha=90.00 beta=90.00 gamma=90.02
With the nearest neighbours (Å) after each atom.
Sites, in units of the cell vectors:
Tl 0.5000 0.5000 0.7433  4 Cu 2.86, 4 Cr 3.02, 4 Tl 3.11
Cr 0.5000 0.5000 0.2336  4 Cr 2.47, 4 Cu 2.66
Cu 0.0000 0.0000 0.4632  5 Cr 2.64-2.66, 4 Tl 2.86
Cr 0.0000 0.0000 0.0599  4 Cr 2.47, 1 Cu 2.64

The total DFT energy (no corrections) is -6.030 eV/atom. The calculation puts the total magnetization at 0.09 μB per formula unit.

=====

No. 6
This record from Alexandria describes an optimized crystal structure of TcIr2Rh. The functional is GGA-PBE.

Unit cell a=4.7482 b=4.7482 c=4.7238 alpha=80.62 beta=80.62 gamma=33.29
With the nearest neighbours (Å) after each atom.
Sites, in units of the cell vectors:
Tc 0.7500 0.7500 0.7500  6 Ir 2.72-2.75, 2 Tc 2.72, 4 Rh 2.73
Ir 0.4971 0.4971 0.5029  6 Ir 2.71-2.74, 3 Tc 2.72-2.75, 3 Rh 2.72-2.76
Rh 0.2500 0.2500 0.2500  6 Ir 2.72-2.76, 2 Rh 2.72, 4 Tc 2.73
Ir 0.0029 0.0029 0.9971  6 Ir 2.71-2.74, 3 Tc 2.72-2.75, 3 Rh 2.72-2.76

The total DFT energy (no corrections) is -8.954 eV/atom. The calculation puts the total magnetization at 0.00 μB per formula unit.

=====

No. 7
This record from Alexandria describes an optimized crystal structure of Sc3Zn8Pd. The functional is GGA-PBE.

Unit cell a=5.1586 b=5.1586 c=8.9733 alpha=73.30 beta=73.30 gamma=60.00
With the nearest neighbours (Å) after each atom.
Sites, in units of the cell vectors:
Sc 0.3777 0.3777 0.8669  12 Zn 3.00-3.12, 4 Sc 3.16-3.25
Zn 0.6869 0.6869 0.9393  6 Zn 2.59-2.62
Zn 0.1878 0.1878 0.4366  6 Zn 2.56-2.58
Sc 0.9932 0.9932 0.0204  1 Pd 2.93, 12 Zn 2.95-3.21, 3 Sc 3.25
Zn 0.9378 0.4394 0.6849  6 Zn 2.57-2.62
Zn 0.4394 0.9378 0.6849  6 Zn 2.57-2.62
Sc 0.5021 0.5021 0.4936  12 Zn 2.96-3.05, 1 Sc 3.16, 3 Pd 3.17
Zn 0.4368 0.4368 0.1905  6 Zn 2.56-2.59
Pd 0.8778 0.8778 0.3667  4 Sc 2.93-3.17, 12 Zn 2.98-3.08
Zn 0.9359 0.4368 0.1905  6 Zn 2.56-2.59
Zn 0.4368 0.9359 0.1905  6 Zn 2.56-2.59
Zn 0.9378 0.9378 0.6849  6 Zn 2.57-2.62

The total DFT energy (no corrections) is -3.238 eV/atom. The calculation puts the total magnetization at 0.00 μB per formula unit.

=====

No. 8
This record from Alexandria describes an optimized crystal structure of InSnHg2Br. The functional is GGA-PBE.

Unit cell a=5.5936 b=5.5936 c=6.0196 alpha=90.00 beta=90.00 gamma=90.00
With the nearest neighbours (Å) after each atom.
Sites, in units of the cell vectors:
Sn 0.0000 0.0000 0.0000  4 Hg 2.80, 2 In 3.01
Br 0.5000 0.5000 0.5000  4 In 3.96, 8 Hg 4.11
Hg 0.5000 0.0000 0.0000  2 Sn 2.80
Hg 0.0000 0.5000 0.0000  2 Sn 2.80
In 0.0000 0.0000 0.5000  2 Sn 3.01

The energy relative to the elements, uncorrected comes out at -0.3 eV/f.u. The total DFT energy (no corrections) is -1.871 eV/atom. The calculation puts the total magnetization at 0.00 μB per formula unit.